Entry 1:
Material: Zn2MoPBr
Method: DFT, PBE
State: relaxed

a b c (Å): 4.8770 4.9866 4.8770
angles (deg): 90.00 90.00 90.00
Last column: magnetic moment on the atom in μB.
Positions (direct):
P 0.0000 0.5000 0.0000  -0.12
Br 0.0000 0.0000 0.0000  0.01
Mo 0.5000 0.5000 0.5000  3.43
Zn 0.0000 0.0000 0.5000  -0.03
Zn 0.5000 0.0000 0.0000  -0.02

Computed properties:
Its crystal system is tetragonal. For the uncorrected formation energy, the calculation gives 34.94 kcal/mol of atoms. The total energy comes out at -2.577 eV per atom. Its magnetic moment is 3.9 μB/f.u.



Entry 2:
Material: MoPbBr2
Method: DFT, PBE
State: relaxed

a b c (Å): 3.3703 6.9916 7.0289
angles (deg): 47.83 90.00 90.00
Last column: magnetic moment on the atom in μB.
Positions (direct):
Br 0.0000 0.0953 0.0957  0.05
Pb 0.5000 0.7500 0.7500  -0.03
Br 0.0000 0.4047 0.4043  0.05
Mo 0.5000 0.2500 0.2500  1.21

Computed properties:
Its crystal system is monoclinic. For the uncorrected formation energy, the calculation gives 1.71 kcal/mol of atoms. The total energy comes out at -4.397 eV per atom. Its magnetic moment is 1.5 μB/f.u.



Entry 3:
Material: MoPbBr3
Method: DFT, PBE
State: relaxed

a b c (Å): 5.3636 5.3636 5.3636
angles (deg): 90.00 90.00 90.00
Last column: magnetic moment on the atom in μB.
Positions (direct):
Br 0.0000 0.5000 0.0000  0.02
Br 0.5000 0.0000 0.0000  0.04
Br 0.0000 0.0000 0.5000  0.04
Pb 0.5000 0.5000 0.5000  -0.23
Mo 0.0000 0.0000 0.0000  3.19

Computed properties:
Its crystal system is cubic. For the uncorrected formation energy, the calculation gives 1.61 kcal/mol of atoms. The total energy comes out at -3.842 eV per atom. Its magnetic moment is 3.2 μB/f.u.